1.
Material: NpZnTcIr
Method: DFT, PBE
State: relaxed

Calculated values
ΔH_f (0 K) (eV per atom): -0.100

a = 6.452 Å, b = 6.452 Å, c = 6.452 Å
α = 90.00°, β = 90.00°, γ = 90.00°
Space group F-43m (No. 216)
Symmetry-distinct sites (fractional):
Np1 0.000 0.000 0.000 (multiplicity 4)
Zn1 0.000 0.000 0.500 (multiplicity 4)
Tc1 0.250 0.250 0.250 (multiplicity 4)
Ir1 0.250 0.250 0.750 (multiplicity 4)


2.
Material: NpTe2Ir
Method: DFT, PBE
State: relaxed

Calculated values
Formation energy (no corrections) (meV/atom): 246

a = 3.8490 Å, b = 3.8490 Å, c = 27.6776 Å
α = 90.00°, β = 90.00°, γ = 120.00°
Space group R-3m (No. 166, hexagonal axes)
Symmetry-distinct sites (fractional):
Np1 0.0000 0.0000 0.0000 (multiplicity 3)
Te1 0.0000 0.0000 0.1139 (multiplicity 6)
Ir1 0.0000 0.0000 0.5000 (multiplicity 3)


3.
Material: NpTeIr
Method: DFT, PBE
State: relaxed

Calculated values
Energy relative to the lowest polymorph listed for this composition (meV/atom): 0
Formation energy (no corrections) (meV/atom): -420

a = 3.841 Å, b = 19.605 Å, c = 3.975 Å
α = 90.00°, β = 90.00°, γ = 90.00°
Space group Cmcm (No. 63)
Symmetry-distinct sites (fractional):
Np1 0.000 0.091 0.250 (multiplicity 4)
Te1 0.000 0.321 0.250 (multiplicity 4)
Ir1 0.000 0.458 0.250 (multiplicity 4)